SmHoN: relaxed, PBE.

The structure in POSCAR format:
```
SmHoN
1.0
0.0000 3.0322 3.0322
3.0322 0.0000 3.0322
3.0322 3.0322 0.0000
Sm Ho N
1 1 1
direct
0.0000 0.0000 0.0000 Sm
0.5000 0.5000 0.5000 Ho
0.7500 0.7500 0.7500 N
```

Computed properties:
E_form (uncorrected): -0.31 eV/atom
Relative energy among the computed polymorphs: 674 meV per atom
Theoretical density: 9.81 g cm⁻³

SmHo2N3: relaxed, PBE.

The structure in POSCAR format:
```
SmHo2N3
1.0
3.0288 -5.2461 0.0000
3.0288 5.2461 0.0000
-2.0183 0.0000 5.7114
Sm Ho N
2 4 6
direct
0.1668 0.8332 0.0000 Sm
0.8332 0.1668 0.0000 Sm
0.0000 0.0000 0.5000 Ho
0.3344 0.6656 0.5000 Ho
0.5000 0.5000 0.0000 Ho
0.6656 0.3344 0.5000 Ho
0.0869 0.4148 0.7444 N
0.2573 0.2573 0.2556 N
0.4148 0.0869 0.7444 N
0.5852 0.9131 0.2556 N
0.7427 0.7427 0.7444 N
0.9131 0.5852 0.2556 N
```

Computed properties:
E_form (uncorrected): -1.65 eV/atom
Theoretical density: 9.56 g cm⁻³

Sm4Ho2N: relaxed, PBE.

The structure in POSCAR format:
```
Sm4Ho2N
1.0
-2.4614 2.4614 8.7916
2.4614 -2.4614 8.7916
2.4614 2.4614 -8.7916
Sm Ho N
4 2 1
direct
0.0000 0.5000 0.5000 Sm
0.1352 0.1352 0.0000 Sm
0.5000 0.0000 0.5000 Sm
0.8648 0.8648 0.0000 Sm
0.3350 0.3350 0.0000 Ho
0.6650 0.6650 0.0000 Ho
0.0000 0.0000 0.0000 N
```

Computed properties:
E_form (uncorrected): -0.21 eV/atom
Theoretical density: 7.37 g cm⁻³

Sm2Ho4N: relaxed, PBE.

The structure in POSCAR format:
```
Sm2Ho4N
1.0
-2.3826 2.3826 8.8735
2.3826 -2.3826 8.8735
2.3826 2.3826 -8.8735
Sm Ho N
2 4 1
direct
0.1723 0.1723 0.0000 Sm
0.8277 0.8277 0.0000 Sm
0.0000 0.5000 0.5000 Ho
0.3688 0.3688 0.0000 Ho
0.5000 0.0000 0.5000 Ho
0.6312 0.6312 0.0000 Ho
0.5000 0.5000 0.0000 N
```

Computed properties:
E_form (uncorrected): -0.29 eV/atom
Theoretical density: 8.03 g cm⁻³

Sm2HoN3: relaxed, PBE.

The structure in POSCAR format:
```
Sm2HoN3
1.0
3.0685 -5.3148 0.0000
3.0685 5.3148 0.0000
-2.0441 0.0000 5.7860
Sm Ho N
4 2 6
direct
0.0000 0.0000 0.0000 Sm
0.1673 0.8327 0.5000 Sm
0.5000 0.5000 0.5000 Sm
0.8327 0.1673 0.5000 Sm
0.3335 0.6665 0.0000 Ho
0.6665 0.3335 0.0000 Ho
0.0814 0.4201 0.2446 N
0.2575 0.2575 0.7561 N
0.4201 0.0814 0.2446 N
0.5799 0.9186 0.7554 N
0.7425 0.7425 0.2439 N
0.9186 0.5799 0.7554 N
```

Computed properties:
E_form (uncorrected): -1.56 eV/atom
Theoretical density: 8.93 g cm⁻³

SmHo3N: relaxed, PBE.

The structure in POSCAR format:
```
SmHo3N
1.0
4.9525 0.0000 0.0000
0.0000 4.9525 0.0000
0.0000 0.0000 4.9525
Sm Ho N
1 3 1
direct
0.0000 0.0000 0.0000 Sm
0.0000 0.5000 0.5000 Ho
0.5000 0.0000 0.5000 Ho
0.5000 0.5000 0.0000 Ho
0.5000 0.5000 0.5000 N
```

Computed properties:
E_form (uncorrected): -0.51 eV/atom
Theoretical density: 9.01 g cm⁻³

Sm5HoN6: relaxed, PBE.

The structure in POSCAR format:
```
Sm5HoN6
1.0
3.0880 -5.3490 0.0000
3.0880 5.3490 0.0000
-2.0586 0.0000 5.8218
Sm Ho N
5 1 6
direct
0.0000 0.0000 0.0000 Sm
0.1668 0.8332 0.5000 Sm
0.3341 0.6659 0.0000 Sm
0.6659 0.3341 0.0000 Sm
0.8332 0.1668 0.5000 Sm
0.5000 0.5000 0.5000 Ho
0.0897 0.4177 0.2530 N
0.2544 0.2544 0.7474 N
0.4177 0.0897 0.2530 N
0.5823 0.9103 0.7470 N
0.7456 0.7456 0.2526 N
0.9103 0.5823 0.7470 N
```

Computed properties:
E_form (uncorrected): -1.52 eV/atom
Theoretical density: 8.64 g cm⁻³

SmHoN: relaxed, PBE.

The structure in POSCAR format:
```
SmHoN
1.0
3.4764 0.0000 0.0000
0.0000 3.4764 0.0000
0.0000 0.0000 5.0444
Sm Ho N
1 1 1
direct
0.0000 0.0000 0.0000 Sm
0.5000 0.5000 0.5000 Ho
0.0000 0.0000 0.5000 N
```

Computed properties:
E_form (uncorrected): -0.95 eV/atom
Relative energy among the computed polymorphs: 31 meV per atom
Theoretical density: 8.97 g cm⁻³

SmHoN2: relaxed, PBE.

The structure in POSCAR format:
```
SmHoN2
1.0
3.4578 0.0000 0.0000
-1.7289 2.9945 0.0000
0.0000 0.0000 6.0855
Sm Ho N
1 1 2
direct
0.0000 0.0000 0.0000 Sm
0.0000 0.0000 0.5000 Ho
0.3333 0.6667 0.7418 N
0.6667 0.3333 0.2582 N
```

Computed properties:
E_form (uncorrected): -1.25 eV/atom
Theoretical density: 9.05 g cm⁻³

SmHoN2: relaxed, PBE.

The structure in POSCAR format:
```
SmHoN2
1.0
1.7300 0.9988 6.0028
-1.7300 0.9988 6.0028
0.0000 -1.9976 6.0028
Sm Ho N
1 1 2
direct
0.0000 0.0000 0.0000 Sm
0.1705 0.1705 0.1705 Ho
0.4252 0.4252 0.4252 N
0.5891 0.5891 0.5891 N
```

Computed properties:
E_form (uncorrected): -1.35 eV/atom
Theoretical density: 9.16 g cm⁻³

Sm2HoSnN4: relaxed, PBE.

The structure in POSCAR format:
```
Sm2HoSnN4
1.0
6.0634 0.0000 0.0000
0.0000 3.5245 0.0000
-2.0820 0.0000 5.7610
Sm Ho Sn N
2 1 1 4
direct
0.0000 0.0000 0.0000 Sm
0.0000 0.5000 0.5000 Sm
0.5000 0.0000 0.5000 Ho
0.5000 0.5000 0.0000 Sn
0.2534 0.5000 0.2593 N
0.2543 0.0000 0.7461 N
0.7457 0.0000 0.2539 N
0.7466 0.5000 0.7407 N
```

Computed properties:
E_form (uncorrected): -0.98 eV/atom
Theoretical density: 8.64 g cm⁻³

SmHo2SnN4: relaxed, PBE.

The structure in POSCAR format:
```
SmHo2SnN4
1.0
1.7318 -5.9117 0.0000
1.7318 5.9117 0.0000
0.0000 0.0000 12.1370
Sm Ho Sn N
2 4 2 8
direct
0.1343 0.8657 0.7500 Sm
0.8657 0.1343 0.2500 Sm
0.3702 0.6298 0.5300 Ho
0.3702 0.6298 0.9700 Ho
0.6298 0.3702 0.0300 Ho
0.6298 0.3702 0.4700 Ho
0.1328 0.8672 0.2500 Sn
0.8672 0.1328 0.7500 Sn
0.0000 0.0000 0.0000 N
0.0000 0.0000 0.5000 N
0.2580 0.7420 0.1221 N
0.2580 0.7420 0.3779 N
0.4730 0.5270 0.7500 N
0.5270 0.4730 0.2500 N
0.7420 0.2580 0.6221 N
0.7420 0.2580 0.8779 N
```

Computed properties:
E_form (uncorrected): -0.89 eV/atom
Theoretical density: 8.75 g cm⁻³

SmHo2TaN4: relaxed, PBE.

The structure in POSCAR format:
```
SmHo2TaN4
1.0
5.8302 0.0000 0.0000
0.0000 3.3646 0.0000
-1.9248 0.0000 5.5576
Sm Ho Ta N
1 2 1 4
direct
0.0000 0.0000 0.0000 Sm
0.5000 0.0000 0.5000 Ho
0.5000 0.5000 0.0000 Ho
0.0000 0.5000 0.5000 Ta
0.2316 0.0000 0.7245 N
0.2400 0.5000 0.2748 N
0.7600 0.5000 0.7252 N
0.7684 0.0000 0.2755 N
```

Computed properties:
E_form (uncorrected): -1.47 eV/atom
Theoretical density: 10.92 g cm⁻³

SmHoTaN3: relaxed, PBE.

The structure in POSCAR format:
```
SmHoTaN3
1.0
6.4925 0.0000 0.0000
0.0000 3.3258 0.0000
-0.8006 0.0000 9.4406
Sm Ho Ta N
2 2 2 6
direct
0.2063 0.2500 0.2450 Sm
0.7937 0.7500 0.7550 Sm
0.3353 0.7500 0.8868 Ho
0.6647 0.2500 0.1132 Ho
0.1439 0.2500 0.5799 Ta
0.8561 0.7500 0.4201 Ta
0.1061 0.2500 0.7869 N
0.2019 0.7500 0.4641 N
0.3988 0.7500 0.1251 N
0.6012 0.2500 0.8749 N
0.7981 0.2500 0.5359 N
0.8939 0.7500 0.2131 N
```

Computed properties:
E_form (uncorrected): -1.12 eV/atom
Theoretical density: 8.77 g cm⁻³

Tb2SmHoN4: relaxed, PBE.

The structure in POSCAR format:
```
Tb2SmHoN4
1.0
6.0773 0.0000 0.0000
0.0000 3.5104 0.0000
-2.0225 0.0000 5.7319
Tb Sm Ho N
2 1 1 4
direct
0.0000 0.0000 0.0000 Tb
0.0000 0.5000 0.5000 Tb
0.5000 0.0000 0.5000 Sm
0.5000 0.5000 0.0000 Ho
0.2472 0.5000 0.2453 N
0.2500 0.0000 0.7538 N
0.7500 0.0000 0.2462 N
0.7528 0.5000 0.7547 N
```

Computed properties:
E_form (uncorrected): -1.63 eV/atom
Theoretical density: 9.36 g cm⁻³

TbSmHo2N4: relaxed, PBE.

The structure in POSCAR format:
```
TbSmHo2N4
1.0
6.0561 0.0000 0.0000
0.0000 3.4977 0.0000
-2.0155 0.0000 5.7122
Tb Sm Ho N
1 1 2 4
direct
0.0000 0.0000 0.0000 Tb
0.5000 0.5000 0.0000 Sm
0.0000 0.5000 0.5000 Ho
0.5000 0.0000 0.5000 Ho
0.2453 0.0000 0.7433 N
0.2490 0.5000 0.2547 N
0.7510 0.5000 0.7453 N
0.7547 0.0000 0.2567 N
```

Computed properties:
E_form (uncorrected): -1.65 eV/atom
Theoretical density: 9.54 g cm⁻³

SmHo2TcN4: relaxed, PBE.

The structure in POSCAR format:
```
SmHo2TcN4
1.0
1.7178 -5.8168 0.0000
1.7178 5.8168 0.0000
0.0000 0.0000 11.5521
Sm Ho Tc N
2 4 2 8
direct
0.1263 0.8737 0.7500 Sm
0.8737 0.1263 0.2500 Sm
0.3686 0.6314 0.5397 Ho
0.3686 0.6314 0.9603 Ho
0.6314 0.3686 0.0397 Ho
0.6314 0.3686 0.4603 Ho
0.1381 0.8619 0.2500 Tc
0.8619 0.1381 0.7500 Tc
0.0000 0.0000 0.0000 N
0.0000 0.0000 0.5000 N
0.2635 0.7365 0.1280 N
0.2635 0.7365 0.3720 N
0.4442 0.5558 0.7500 N
0.5558 0.4442 0.2500 N
0.7365 0.2635 0.6280 N
0.7365 0.2635 0.8720 N
```

Computed properties:
E_form (uncorrected): -1.11 eV/atom
Theoretical density: 9.12 g cm⁻³

SmHo2ThN4: relaxed, PBE.

The structure in POSCAR format:
```
SmHo2ThN4
1.0
6.1254 0.0000 0.0000
0.0000 3.5474 0.0000
-2.0295 0.0000 5.7812
Sm Ho Th N
1 2 1 4
direct
0.0000 0.0000 0.0000 Sm
0.5000 0.0000 0.5000 Ho
0.5000 0.5000 0.0000 Ho
0.0000 0.5000 0.5000 Th
0.2565 0.0000 0.7492 N
0.2564 0.5000 0.2567 N
0.7435 0.0000 0.2508 N
0.7436 0.5000 0.7433 N
```

Computed properties:
E_form (uncorrected): -1.64 eV/atom
Theoretical density: 10.16 g cm⁻³

SmHoTiN3: relaxed, PBE.

The structure in POSCAR format:
```
SmHoTiN3
1.0
7.1410 0.0000 0.0000
0.0000 3.5393 0.0000
-1.1102 0.0000 7.6893
Sm Ho Ti N
2 2 2 6
direct
0.1674 0.2500 0.1643 Sm
0.8326 0.7500 0.8357 Sm
0.3679 0.7500 0.8434 Ho
0.6321 0.2500 0.1566 Ho
0.1014 0.2500 0.5990 Ti
0.8986 0.7500 0.4010 Ti
0.1096 0.2500 0.8506 N
0.1740 0.7500 0.5229 N
0.4019 0.7500 0.1376 N
0.5981 0.2500 0.8624 N
0.8260 0.2500 0.4771 N
0.8904 0.7500 0.1494 N
```

Computed properties:
E_form (uncorrected): -1.34 eV/atom
Theoretical density: 6.92 g cm⁻³

Sm2HoTlN: relaxed, PBE.

The structure in POSCAR format:
```
Sm2HoTlN
1.0
4.9635 0.0000 0.0000
0.0000 4.9635 0.0000
0.0000 0.0000 4.7964
Sm Ho Tl N
2 1 1 1
direct
0.0000 0.5000 0.0000 Sm
0.5000 0.0000 0.0000 Sm
0.0000 0.0000 0.5000 Ho
0.5000 0.5000 0.5000 Tl
0.0000 0.0000 0.0000 N
```

Computed properties:
E_form (uncorrected): -0.89 eV/atom
Theoretical density: 9.61 g cm⁻³